Entry 1:
Entry from Alexandria via LeMat-Bulk: an optimized crystal structure of Cu2ReSi (PBE). Values from VASP.

Cell and atoms, written as Quantum ESPRESSO input:
```
&SYSTEM
  ibrav = 0, nat = 4, ntyp = 3
/
ATOMIC_SPECIES
Cu 63.55 Cu.upf
Re 186.21 Re.upf
Si 28.09 Si.upf
CELL_PARAMETERS angstrom
4.400 -0.035 0.000
1.048 4.273 0.000
-2.724 -2.119 2.729
ATOMIC_POSITIONS crystal
Cu 0.000 0.000 0.000
Cu 0.250 0.750 0.500
Re 0.500 0.500 0.000
Si 0.750 0.250 0.500
```

Output
- uncorrected formation energy (meV/atom) = 156
- crystal system = tetragonal
- final energy (Ha/atom) = -0.2337

Entry 2:
Entry from Alexandria via LeMat-Bulk: an optimized crystal structure of Cu2ReSi (PBE). Values from VASP.

Cell and atoms, written as Quantum ESPRESSO input:
```
&SYSTEM
  ibrav = 0, nat = 4, ntyp = 3
/
ATOMIC_SPECIES
Cu 63.55 Cu.upf
Re 186.21 Re.upf
Si 28.09 Si.upf
CELL_PARAMETERS angstrom
-0.532 -0.897 -2.423
3.708 0.824 -1.119
1.454 -4.643 1.399
ATOMIC_POSITIONS crystal
Cu 0.000 0.000 0.000
Cu 0.000 0.000 0.500
Re 0.500 0.500 0.250
Si 0.500 0.500 0.750
```

Output
- uncorrected formation energy (meV/atom) = 254
- crystal system = orthorhombic
- final energy (Ha/atom) = -0.2301

Entry 3:
Entry from Alexandria via LeMat-Bulk: an optimized crystal structure of Cu2ReSi (PBE). Values from VASP.

Cell and atoms, written as Quantum ESPRESSO input:
```
&SYSTEM
  ibrav = 0, nat = 4, ntyp = 3
/
ATOMIC_SPECIES
Cu 63.55 Cu.upf
Re 186.21 Re.upf
Si 28.09 Si.upf
CELL_PARAMETERS angstrom
3.591 0.000 0.000
0.000 3.591 0.000
0.000 0.000 3.983
ATOMIC_POSITIONS crystal
Cu 0.000 0.000 0.000
Cu 0.500 0.500 0.000
Re 0.500 0.000 0.500
Si 0.000 0.500 0.500
```

Output
- uncorrected formation energy (meV/atom) = 114
- crystal system = tetragonal
- final energy (Ha/atom) = -0.2353

Entry 4:
Entry from Alexandria via LeMat-Bulk: an optimized crystal structure of Cu2ReSi (PBE). Values from VASP.

Cell and atoms, written as Quantum ESPRESSO input:
```
&SYSTEM
  ibrav = 0, nat = 4, ntyp = 3
/
ATOMIC_SPECIES
Cu 63.55 Cu.upf
Re 186.21 Re.upf
Si 28.09 Si.upf
CELL_PARAMETERS angstrom
4.746 0.066 0.529
3.952 2.628 0.529
1.402 0.434 4.453
ATOMIC_POSITIONS crystal
Cu 0.994 0.994 0.923
Cu 0.747 0.747 0.827
Re 0.506 0.506 0.411
Si 0.253 0.253 0.339
```

Output
- uncorrected formation energy (meV/atom) = 74
- crystal system = monoclinic
- final energy (Ha/atom) = -0.2367

Entry 5:
Entry from Alexandria via LeMat-Bulk: an optimized crystal structure of CuReSi (PBE). Values from VASP.

Cell and atoms, written as Quantum ESPRESSO input:
```
&SYSTEM
  ibrav = 0, nat = 3, ntyp = 3
/
ATOMIC_SPECIES
Cu 63.55 Cu.upf
Re 186.21 Re.upf
Si 28.09 Si.upf
CELL_PARAMETERS angstrom
6.541 -0.001 0.001
5.714 2.624 -0.040
0.828 -0.941 2.451
ATOMIC_POSITIONS crystal
Cu 0.991 0.991 0.009
Re 0.675 0.675 0.325
Si 0.333 0.333 0.667
```

Output
- uncorrected formation energy (meV/atom) = 323
- crystal system = orthorhombic
- final energy (Ha/atom) = -0.2572
- relative energy among the computed polymorphs (eV/atom) = 0.257

Entry 6:
Entry from Alexandria via LeMat-Bulk: an optimized crystal structure of CuReSi (PBE). Values from VASP.

Cell and atoms, written as Quantum ESPRESSO input:
```
&SYSTEM
  ibrav = 0, nat = 3, ntyp = 3
/
ATOMIC_SPECIES
Cu 63.55 Cu.upf
Re 186.21 Re.upf
Si 28.09 Si.upf
CELL_PARAMETERS angstrom
4.089 0.000 0.000
2.045 3.542 0.000
2.045 1.181 3.339
ATOMIC_POSITIONS crystal
Cu 0.500 0.500 0.500
Re 0.750 0.750 0.750
Si 0.000 0.000 0.000
```

Output
- uncorrected formation energy (meV/atom) = 526
- crystal system = cubic
- final energy (Ha/atom) = -0.2498
- relative energy among the computed polymorphs (eV/atom) = 0.461

Which formula does entry 3 have? Cu2ReSi